VASP calculation (PBE) on an optimized crystal structure of AcH6Ir2Pb.

Computed properties:
Size of the total moment   0.0 μB per formula unit
Calculated total energy   -4.84 eV per atom

Cell and atoms, written as CIF:
```
data_AcH6Ir2Pb
_cell_length_a 7.942
_cell_length_b 12.161
_cell_length_c 5.016
_cell_angle_alpha 90.00
_cell_angle_beta 90.05
_cell_angle_gamma 90.00
_symmetry_space_group_name_H-M 'C 1 2/c 1'
_symmetry_Int_Tables_number 15
_symmetry_space_group_name_Hall '-C 2yc'
loop_
_atom_site_label
_atom_site_type_symbol
_atom_site_fract_x
_atom_site_fract_y
_atom_site_fract_z
Ac1 Ac 0.000 0.186 0.250
H1 H 0.122 0.000 0.001
H2 H 0.233 0.325 0.469
H3 H 0.234 0.324 0.032
Ir1 Ir 0.220 0.081 0.750
Pb1 Pb 0.000 0.417 0.750
```

VASP calculation (PBE) on an optimized crystal structure of Ac5HIrPd2.

Computed properties:
Size of the total moment   0.4 μB per formula unit
Calculated total energy   -5.40 eV per atom

Cell and atoms, written as CIF:
```
data_Ac5HIrPd2
_cell_length_a 4.271
_cell_length_b 18.679
_cell_length_c 13.467
_cell_angle_alpha 90.00
_cell_angle_beta 90.00
_cell_angle_gamma 90.00
_symmetry_space_group_name_H-M 'C m c 21'
_symmetry_Int_Tables_number 36
_symmetry_space_group_name_Hall 'C 2c -2'
loop_
_atom_site_label
_atom_site_type_symbol
_atom_site_fract_x
_atom_site_fract_y
_atom_site_fract_z
Ac1 Ac 0.000 0.000 0.000
Ac2 Ac 0.000 0.142 0.259
Ac3 Ac 0.000 0.197 0.605
Ac4 Ac 0.000 0.199 0.911
Ac5 Ac 0.000 0.456 0.243
H1 H 0.000 0.065 0.656
Ir1 Ir 0.000 0.299 0.258
Pd1 Pd 0.000 0.379 0.940
Pd2 Pd 0.000 0.384 0.576
```

VASP calculation (PBE) on an optimized crystal structure of Ac3HIrPd.

Computed properties:
Size of the total moment   0.0 μB per formula unit
Calculated total energy   -5.59 eV per atom

Cell and atoms, written as CIF:
```
data_Ac3HIrPd
_cell_length_a 8.788
_cell_length_b 4.246
_cell_length_c 9.332
_cell_angle_alpha 90.00
_cell_angle_beta 101.37
_cell_angle_gamma 90.00
_symmetry_space_group_name_H-M 'P 1 21/m 1'
_symmetry_Int_Tables_number 11
_symmetry_space_group_name_Hall '-P 2yb'
loop_
_atom_site_label
_atom_site_type_symbol
_atom_site_fract_x
_atom_site_fract_y
_atom_site_fract_z
Ac1 Ac 0.076 0.250 0.337
Ac2 Ac 0.291 0.250 0.984
Ac3 Ac 0.397 0.750 0.645
H1 H 0.423 0.750 0.925
Ir1 Ir 0.168 0.250 0.668
Pd1 Pd 0.328 0.750 0.265
```

VASP calculation (PBE) on an optimized crystal structure of Ac4HIr2Pd.

Computed properties:
Size of the total moment   0.0 μB per formula unit
Calculated total energy   -5.98 eV per atom

Cell and atoms, written as CIF:
```
data_Ac4HIr2Pd
_cell_length_a 4.315
_cell_length_b 14.032
_cell_length_c 14.812
_cell_angle_alpha 90.00
_cell_angle_beta 90.00
_cell_angle_gamma 90.00
_symmetry_space_group_name_H-M 'C m c m'
_symmetry_Int_Tables_number 63
_symmetry_space_group_name_Hall '-C 2c 2'
loop_
_atom_site_label
_atom_site_type_symbol
_atom_site_fract_x
_atom_site_fract_y
_atom_site_fract_z
Ac1 Ac 0.000 0.000 0.000
Ac2 Ac 0.000 0.271 0.118
Ac3 Ac 0.000 0.444 0.750
H1 H 0.000 0.154 0.250
Ir1 Ir 0.000 0.369 0.564
Pd1 Pd 0.000 0.115 0.750
```

VASP calculation (PBE) on an optimized crystal structure of AcH8Ir2Pd.

Computed properties:
Size of the total moment   0.0 μB per formula unit
Calculated total energy   -4.68 eV per atom

Cell and atoms, written as CIF:
```
data_AcH8Ir2Pd
_cell_length_a 4.8931
_cell_length_b 4.8931
_cell_length_c 17.1691
_cell_angle_alpha 90.00
_cell_angle_beta 90.00
_cell_angle_gamma 120.00
_symmetry_space_group_name_H-M 'R -3'
_symmetry_Int_Tables_number 148
_symmetry_space_group_name_Hall '-R 3'
loop_
_atom_site_label
_atom_site_type_symbol
_atom_site_fract_x
_atom_site_fract_y
_atom_site_fract_z
Ac1 Ac 0.0000 0.0000 0.0000
H1 H 0.0000 0.0000 0.3066
H2 H 0.0010 0.6990 0.8796
Ir1 Ir 0.0000 0.0000 0.2093
Pd1 Pd 0.0000 0.0000 0.5000
```

VASP calculation (PBE) on an optimized crystal structure of Ac2H6IrPd.

Computed properties:
Size of the total moment   0.0 μB per formula unit
Calculated total energy   -4.73 eV per atom

Cell and atoms, written as CIF:
```
data_Ac2H6IrPd
_cell_length_a 7.801
_cell_length_b 7.945
_cell_length_c 5.555
_cell_angle_alpha 90.00
_cell_angle_beta 134.40
_cell_angle_gamma 90.00
_symmetry_space_group_name_H-M 'C 1 2/m 1'
_symmetry_Int_Tables_number 12
_symmetry_space_group_name_Hall '-C 2y'
loop_
_atom_site_label
_atom_site_type_symbol
_atom_site_fract_x
_atom_site_fract_y
_atom_site_fract_z
Ac1 Ac 0.000 0.250 0.000
H1 H 0.000 0.224 0.500
H2 H 0.224 0.000 0.949
H3 H 0.227 0.000 0.499
Ir1 Ir 0.000 0.000 0.500
Pd1 Pd 0.000 0.500 0.500
```

VASP calculation (PBE) on an optimized crystal structure of AcPmHIr.

Computed properties:
Size of the total moment   0.0 μB per formula unit
Calculated total energy   -5.57 eV per atom

Cell and atoms, written as CIF:
```
data_AcPmHIr
_cell_length_a 7.094
_cell_length_b 7.094
_cell_length_c 7.094
_cell_angle_alpha 90.00
_cell_angle_beta 90.00
_cell_angle_gamma 90.00
_symmetry_space_group_name_H-M 'F -4 3 m'
_symmetry_Int_Tables_number 216
_symmetry_space_group_name_Hall 'F -4 2 3'
loop_
_atom_site_label
_atom_site_type_symbol
_atom_site_fract_x
_atom_site_fract_y
_atom_site_fract_z
Ac1 Ac 0.000 0.000 0.000
Pm1 Pm 0.000 0.000 0.500
H1 H 0.250 0.250 0.250
Ir1 Ir 0.250 0.250 0.750
```

VASP calculation (PBE) on an optimized crystal structure of AcH6IrPt2.

Computed properties:
Size of the total moment   0.0 μB per formula unit
Calculated total energy   -4.85 eV per atom

Cell and atoms, written as CIF:
```
data_AcH6IrPt2
_cell_length_a 4.779
_cell_length_b 5.117
_cell_length_c 5.717
_cell_angle_alpha 115.50
_cell_angle_beta 90.08
_cell_angle_gamma 117.81
_symmetry_space_group_name_H-M 'P -1'
_symmetry_Int_Tables_number 2
_symmetry_space_group_name_Hall '-P 1'
loop_
_atom_site_label
_atom_site_type_symbol
_atom_site_fract_x
_atom_site_fract_y
_atom_site_fract_z
Ac1 Ac 0.000 0.000 0.000
H1 H 0.121 0.691 0.245
H2 H 0.430 0.308 0.754
H3 H 0.445 0.889 0.756
Ir1 Ir 0.500 0.000 0.500
Pt1 Pt 0.223 0.447 0.634
```

VASP calculation (PBE) on an optimized crystal structure of AcH8Ir2Pt.

Computed properties:
Size of the total moment   0.0 μB per formula unit
Calculated total energy   -4.73 eV per atom

Cell and atoms, written as CIF:
```
data_AcH8Ir2Pt
_cell_length_a 9.251
_cell_length_b 4.271
_cell_length_c 6.232
_cell_angle_alpha 90.00
_cell_angle_beta 108.34
_cell_angle_gamma 90.00
_symmetry_space_group_name_H-M 'C 1 2/m 1'
_symmetry_Int_Tables_number 12
_symmetry_space_group_name_Hall '-C 2y'
loop_
_atom_site_label
_atom_site_type_symbol
_atom_site_fract_x
_atom_site_fract_y
_atom_site_fract_z
Ac1 Ac 0.000 0.000 0.000
H1 H 0.126 0.265 0.722
H2 H 0.171 0.500 0.066
H3 H 0.197 0.000 0.370
Ir1 Ir 0.240 0.000 0.656
Pt1 Pt 0.000 0.500 0.500
```

VASP calculation (PBE) on an optimized crystal structure of Ac6HIrPt2.

Computed properties:
Size of the total moment   0.0 μB per formula unit
Calculated total energy   -5.59 eV per atom

Cell and atoms, written as CIF:
```
data_Ac6HIrPt2
_cell_length_a 7.487
_cell_length_b 7.488
_cell_length_c 8.225
_cell_angle_alpha 117.07
_cell_angle_beta 90.00
_cell_angle_gamma 119.96
_symmetry_space_group_name_H-M 'P 1'
_symmetry_Int_Tables_number 1
_symmetry_space_group_name_Hall 'P 1'
loop_
_atom_site_label
_atom_site_type_symbol
_atom_site_fract_x
_atom_site_fract_y
_atom_site_fract_z
Ac1 Ac 0.000 0.000 0.000
Ac2 Ac 0.140 0.648 0.483
Ac3 Ac 0.300 0.648 0.000
Ac4 Ac 0.483 0.324 0.484
Ac5 Ac 0.647 0.347 0.999
Ac6 Ac 0.808 0.990 0.483
H1 H 0.918 0.538 0.808
Ir1 Ir 0.401 0.503 0.256
Pt1 Pt 0.227 0.154 0.733
Pt2 Pt 0.724 0.149 0.226
```

VASP calculation (PBE) on an optimized crystal structure of Ac6HIr2Pt.

Computed properties:
Size of the total moment   0.0 μB per formula unit
Calculated total energy   -5.80 eV per atom

Cell and atoms, written as CIF:
```
data_Ac6HIr2Pt
_cell_length_a 7.419
_cell_length_b 7.420
_cell_length_c 8.174
_cell_angle_alpha 116.97
_cell_angle_beta 90.02
_cell_angle_gamma 119.97
_symmetry_space_group_name_H-M 'P 1'
_symmetry_Int_Tables_number 1
_symmetry_space_group_name_Hall 'P 1'
loop_
_atom_site_label
_atom_site_type_symbol
_atom_site_fract_x
_atom_site_fract_y
_atom_site_fract_z
Ac1 Ac 0.000 0.000 0.000
Ac2 Ac 0.142 0.656 0.497
Ac3 Ac 0.322 0.659 0.000
Ac4 Ac 0.497 0.318 0.496
Ac5 Ac 0.659 0.337 0.000
Ac6 Ac 0.835 0.011 0.496
H1 H 0.923 0.524 0.788
Ir1 Ir 0.242 0.161 0.745
Ir2 Ir 0.739 0.155 0.236
Pt1 Pt 0.414 0.508 0.265
```

VASP calculation (PBE) on an optimized crystal structure of AcH4IrPt2.

Computed properties:
Size of the total moment   0.0 μB per formula unit
Calculated total energy   -5.16 eV per atom

Cell and atoms, written as CIF:
```
data_AcH4IrPt2
_cell_length_a 4.454
_cell_length_b 4.870
_cell_length_c 5.640
_cell_angle_alpha 108.18
_cell_angle_beta 92.17
_cell_angle_gamma 114.84
_symmetry_space_group_name_H-M 'P 1'
_symmetry_Int_Tables_number 1
_symmetry_space_group_name_Hall 'P 1'
loop_
_atom_site_label
_atom_site_type_symbol
_atom_site_fract_x
_atom_site_fract_y
_atom_site_fract_z
Ac1 Ac 0.000 0.000 0.000
H1 H 0.051 0.942 0.455
H2 H 0.478 0.358 0.773
H3 H 0.490 0.637 0.200
H4 H 0.893 0.491 0.134
Ir1 Ir 0.725 0.567 0.385
Pt1 Pt 0.186 0.447 0.623
Pt2 Pt 0.510 0.037 0.558
```